Below is Ga2SnHS at its PBEsol-relaxed geometry, with properties calculated at the meta-GGA SCAN level.

Lattice parameters (Å, degrees): 3.7240 5.1461 5.1461 90.00 90.00 90.00
Last column: nearest neighbours and their distance in Å.
Sites, in units of the cell vectors:
S: 0.5000 0.5000 0.5000  8 Ga 3.18
Ga: 0.0000 0.5000 0.0000  2 Sn 2.57
Ga: 0.0000 0.0000 0.5000  2 Sn 2.57
Sn: 0.0000 0.0000 0.0000  2 H 1.86
H: 0.5000 0.0000 0.0000  2 Sn 1.86

SG: P4/mmm (123)

***

Below is Y2TlCo at its PBEsol-relaxed geometry, with properties calculated at the meta-GGA SCAN level.

Lattice parameters (Å, degrees): 3.6308 4.9599 4.9610 90.00 90.00 90.00
Last column: nearest neighbours and their distance in Å.
Sites, in units of the cell vectors:
Y: 0.0000 0.5000 0.5000  4 Tl 3.07, 4 Co 3.07
Y: 0.0000 0.0000 0.0000  4 Co 3.07, 4 Tl 3.07
Co: 0.5000 0.5000 0.0000  8 Y 3.07
Tl: 0.5000 0.0000 0.5000  8 Y 3.07

Formation energy from the elements, eV per atom: -0.382
SG: P4/mmm (123)

***

Below is Zr2CoHg at its PBEsol-relaxed geometry, with properties calculated at the meta-GGA SCAN level.

Lattice parameters (Å, degrees): 3.4238 3.4429 7.9181 102.40 90.00 119.82
Last column: nearest neighbours and their distance in Å.
Sites, in units of the cell vectors:
Hg: 0.0000 0.0000 0.5000  6 Zr 3.05
Zr: 0.2332 0.4664 0.1978  3 Co 2.50
Zr: 0.7668 0.5336 0.8022  3 Co 2.50
Co: 0.5000 0.0000 0.0000  6 Zr 2.50

Formation energy from the elements, eV per atom: -0.158
SG: C2/m (12)

***

Record order is preserved below.
Energy: -16.030, -36.719, -36.875 eV/atom
Record order is preserved below.
Fermi-level density of states: 0.715, 2.459, 3.512 states/eV per cell
Record order is preserved below.
Magnetization: 0.0000, 0.2921, 0.0000 μB per atom